Record 1
DFT (PBE) results for an optimized crystal structure of U4Re7Si6.

Unit cell a=7.1411 b=7.1411 c=7.1411 alpha=109.47 beta=109.47 gamma=109.47
Last column: nearest neighbours and their distance in Å.
Atoms (fractional coordinates):
U (0.5000, 0.5000, 0.5000)  6 Re 2.92, 6 Si 2.96
U (0.5000, 0.0000, 0.0000)  6 Re 2.92, 6 Si 2.96
U (0.0000, 0.5000, 0.0000)  6 Re 2.92, 6 Si 2.96
U (0.0000, 0.0000, 0.5000)  6 Re 2.92, 6 Si 2.96
Si (0.6904, 0.0000, 0.6904)  5 Re 2.55-2.59
Si (0.3096, 0.3096, 0.0000)  5 Re 2.55-2.59
Si (0.3096, 0.0000, 0.3096)  5 Re 2.55-2.59
Si (0.0000, 0.6904, 0.6904)  5 Re 2.55-2.59
Si (0.6904, 0.6904, 0.0000)  5 Re 2.55-2.59
Si (0.0000, 0.3096, 0.3096)  5 Re 2.55-2.59
Re (0.5000, 0.2500, 0.7500)  4 Si 2.59
Re (0.7500, 0.5000, 0.2500)  4 Si 2.59
Re (0.2500, 0.7500, 0.5000)  4 Si 2.59
Re (0.7500, 0.2500, 0.5000)  4 Si 2.59
Re (0.5000, 0.7500, 0.2500)  4 Si 2.59
Re (0.2500, 0.5000, 0.7500)  4 Si 2.59
Re (0.0000, 0.0000, 0.0000)  6 Si 2.55

Results
**E_form (uncorrected)**: -8.016 eV/f.u.

=====

Record 2
DFT (PBE) results for an optimized crystal structure of La5InAg2.

Unit cell a=8.5699 b=8.5699 c=9.1203 alpha=118.02 beta=118.02 gamma=90.00
Last column: nearest neighbours and their distance in Å.
Atoms (fractional coordinates):
La (0.8084, 0.9917, 0.3002)  3 Ag 3.22-3.28, 2 In 3.50, 1 La 3.51
La (0.5083, 0.6916, 0.6998)  3 Ag 3.22-3.28, 2 In 3.50, 1 La 3.51
La (0.1916, 0.0083, 0.6998)  3 Ag 3.22-3.28, 2 In 3.50, 1 La 3.51
La (0.6916, 0.1916, 0.6998)  3 Ag 3.22-3.28, 2 In 3.50, 1 La 3.51
La (0.0000, 0.0000, 0.0000)  4 Ag 3.36, 2 In 3.41
La (0.9917, 0.4917, 0.3002)  3 Ag 3.22-3.28, 2 In 3.50, 1 La 3.51
La (0.3084, 0.8084, 0.3002)  3 Ag 3.22-3.28, 2 In 3.50, 1 La 3.51
La (0.5000, 0.5000, 0.0000)  4 Ag 3.36, 2 In 3.41
La (0.0083, 0.5083, 0.6998)  3 Ag 3.22-3.28, 2 In 3.50, 1 La 3.51
La (0.4917, 0.3084, 0.3002)  3 Ag 3.22-3.28, 2 In 3.50, 1 La 3.51
Ag (0.6298, 0.1298, 0.0000)  1 Ag 3.15, 8 La 3.22-3.36
Ag (0.1298, 0.3702, 0.0000)  1 Ag 3.15, 8 La 3.22-3.36
Ag (0.3702, 0.8702, 0.0000)  1 Ag 3.15, 8 La 3.22-3.36
Ag (0.8702, 0.6298, 0.0000)  1 Ag 3.15, 8 La 3.22-3.36
In (0.7500, 0.7500, 0.5000)  10 La 3.41-3.50
In (0.2500, 0.2500, 0.5000)  10 La 3.41-3.50

Results
**Formation enthalpy at 0 K**: -0.25 eV/atom

=====

Record 3
DFT (PBE) results for an optimized crystal structure of Y2ScAsPd.

Unit cell a=5.3612 b=4.9104 c=5.3612 alpha=90.00 beta=90.00 gamma=90.00
Last column: nearest neighbours and their distance in Å.
Atoms (fractional coordinates):
Y (0.5000, 0.0000, 0.0000)  2 As 2.68
Y (0.0000, 0.0000, 0.5000)  2 As 2.68
Pd (0.5000, 0.5000, 0.5000)  8 Y 3.64, 4 Sc 3.79
Sc (0.0000, 0.5000, 0.0000)  2 As 2.46
As (0.0000, 0.0000, 0.0000)  2 Sc 2.46, 4 Y 2.68

Results
**Formation enthalpy at 0 K**: -0.28 eV/atom